1.
VASP calculation (PBE-GGA) on Na8B9C7 after structural relaxation.

Cell: 5.6819 5.6819 8.4667 Å, 90.00 90.00 120.00°
Space group P-6m2 (No. 187)
Unique sites:
1 Na 0.0000 0.0000 0.2470 x2
2 Na 0.0003 0.5001 0.2493 x6
3 B 0.1667 0.3334 0.0000 x3
4 B 0.3194 0.1597 0.5000 x3
5 B 0.3333 0.6667 0.5000 x1
6 B 0.6667 0.3333 0.0000 x1
7 B 0.6667 0.3333 0.5000 x1
8 C 0.1672 0.3343 0.5000 x3
9 C 0.3335 0.1667 0.0000 x3
10 C 0.3333 0.6667 0.0000 x1

Total moment ... 0.00 μB/f.u.
Formation energy ... 0.050 eV/atom
ΔE to the lowest computed polymorph ... 0.49 eV per formula unit

***

2.
VASP calculation (PBE-GGA) on Na5B6C4 after structural relaxation.

Cell: 8.500 14.390 4.917 Å, 90.00 90.00 90.00°
Space group Amm2 (No. 38)
Unique sites:
1 Na 0.247 0.000 0.000 x4
2 Na 0.247 0.200 0.999 x8
3 Na 0.248 0.100 0.500 x8
4 B 0.000 0.000 0.334 x2
5 B 0.000 0.100 0.834 x4
6 B 0.000 0.200 0.334 x4
7 B 0.500 0.000 0.662 x2
8 B 0.500 0.095 0.164 x4
9 B 0.500 0.193 0.691 x4
10 B 0.500 0.201 0.319 x4
11 C 0.000 0.000 0.667 x2
12 C 0.000 0.100 0.167 x4
13 C 0.000 0.200 0.667 x4
14 C 0.500 0.000 0.328 x2
15 C 0.500 0.095 0.828 x4

Total moment ... 0.00 μB/f.u.
Formation energy ... 0.072 eV/atom
ΔE to the lowest computed polymorph ... 0.30 eV per formula unit

***

3.
VASP calculation (PBE-GGA) on Na2B3C after structural relaxation.

Cell: 34.973 2.797 5.245 Å, 90.00 98.55 90.00°
Space group C2/m (No. 12)
Unique sites:
1 Na 0.000 0.000 0.000 x2
2 Na 0.000 0.500 0.500 x2
3 Na 0.125 0.000 0.123 x4
4 Na 0.125 0.500 0.627 x4
5 Na 0.250 0.000 0.248 x4
6 B 0.062 0.000 0.411 x4
7 B 0.062 0.000 0.743 x4
8 B 0.062 0.500 0.198 x4
9 B 0.187 0.000 0.552 x4
10 B 0.187 0.500 0.008 x4
11 B 0.187 0.500 0.338 x4
12 C 0.063 0.500 0.900 x4
13 C 0.187 0.000 0.850 x4

Total moment ... 0.00 μB/f.u.
Formation energy ... 0.142 eV/atom
ΔE to the lowest computed polymorph ... 0.05 eV per formula unit

***

4.
VASP calculation (PBE-GGA) on Na2B3C after structural relaxation.

Cell: 4.957 8.661 5.917 Å, 90.00 93.50 90.00°
Space group P2_1/m (No. 11)
Unique sites:
1 Na 0.000 0.000 0.000 x2
2 Na 0.000 0.000 0.500 x2
3 Na 0.499 0.000 0.250 x4
4 B 0.154 0.250 0.257 x2
5 B 0.159 0.750 0.235 x2
6 B 0.190 0.250 0.721 x2
7 B 0.312 0.250 0.008 x2
8 B 0.325 0.750 0.994 x2
9 B 0.331 0.750 0.514 x2
10 C 0.178 0.750 0.740 x2
11 C 0.337 0.250 0.498 x2

Total moment ... 0.00 μB/f.u.
Formation energy ... 0.176 eV/atom
ΔE to the lowest computed polymorph ... 0.26 eV per formula unit

***

5.
VASP calculation (PBE-GGA) on Na2B3C after structural relaxation.

Cell: 5.053 7.714 9.090 Å, 72.35 90.00 70.90°
Space group P1 (No. 1)
Unique sites:
1 Na 0.000 0.000 0.000 x1
2 Na 0.096 0.801 0.497 x1
3 Na 0.197 0.600 0.002 x1
4 Na 0.297 0.401 0.498 x1
5 Na 0.398 0.201 0.000 x1
6 Na 0.498 0.002 0.498 x1
7 Na 0.599 0.800 0.002 x1
8 Na 0.697 0.603 0.494 x1
9 Na 0.798 0.399 0.001 x1
10 Na 0.900 0.200 0.498 x1
11 B 0.015 0.303 0.749 x1
12 B 0.081 0.513 0.749 x1
13 B 0.099 0.110 0.249 x1
14 B 0.217 0.899 0.749 x1
15 B 0.278 0.101 0.749 x1
16 B 0.294 0.700 0.250 x1
17 B 0.384 0.902 0.250 x1
18 B 0.493 0.689 0.749 x1
19 B 0.508 0.291 0.248 x1
20 B 0.586 0.499 0.248 x1
21 B 0.629 0.101 0.749 x1
22 B 0.659 0.318 0.749 x1
23 B 0.725 0.902 0.250 x1
24 B 0.877 0.883 0.749 x1
25 B 0.927 0.499 0.249 x1
26 C 0.182 0.301 0.248 x1
27 C 0.406 0.505 0.749 x1
28 C 0.782 0.100 0.249 x1
29 C 0.810 0.697 0.749 x1
30 C 0.985 0.700 0.250 x1

Total moment ... 0.00 μB/f.u.
Formation energy ... 0.178 eV/atom
ΔE to the lowest computed polymorph ... 0.27 eV per formula unit

***

6.
VASP calculation (PBE-GGA) on Na2B3C after structural relaxation.

Cell: 34.927 2.798 5.248 Å, 90.00 98.59 90.00°
Space group C2/m (No. 12)
Unique sites:
1 Na 0.000 0.000 0.000 x2
2 Na 0.000 0.500 0.500 x2
3 Na 0.125 0.000 0.125 x4
4 Na 0.125 0.500 0.625 x4
5 Na 0.250 0.000 0.248 x4
6 B 0.062 0.000 0.382 x4
7 B 0.062 0.000 0.714 x4
8 B 0.062 0.500 0.926 x4
9 B 0.187 0.000 0.536 x4
10 B 0.187 0.000 0.868 x4
11 B 0.187 0.500 0.324 x4
12 C 0.062 0.500 0.224 x4
13 C 0.188 0.500 0.026 x4

Total moment ... 0.00 μB/f.u.
Formation energy ... 0.140 eV/atom
ΔE to the lowest computed polymorph ... 0.04 eV per formula unit

***

7.
VASP calculation (PBE-GGA) on Na2B3C after structural relaxation.

Cell: 2.9124 2.9124 8.5850 Å, 90.00 90.00 120.00°
Space group P-6m2 (No. 187)
Unique sites:
1 Na 0.0000 0.0000 0.2468 x2
2 B 0.3333 0.6667 0.0000 x1
3 B 0.3333 0.6667 0.5000 x1
4 B 0.6667 0.3333 0.5000 x1
5 C 0.6667 0.3333 0.0000 x1

Total moment ... 0.00 μB/f.u.
Formation energy ... 0.192 eV/atom
ΔE to the lowest computed polymorph ... 0.35 eV per formula unit

***

8.
VASP calculation (PBE-GGA) on Na5B8C2 after structural relaxation.

Cell: 22.888 2.946 9.996 Å, 90.00 107.39 90.00°
Space group Cm (No. 8)
Unique sites:
1 Na 0.000 0.000 0.000 x2
2 Na 0.000 0.500 0.498 x2
3 Na 0.099 0.000 0.697 x2
4 Na 0.099 0.500 0.199 x2
5 Na 0.199 0.000 0.398 x2
6 Na 0.201 0.500 0.895 x2
7 Na 0.298 0.500 0.601 x2
8 Na 0.300 0.000 0.099 x2
9 Na 0.400 0.000 0.801 x2
10 Na 0.400 0.500 0.299 x2
11 B 0.016 0.500 0.780 x2
12 B 0.017 0.000 0.282 x2
13 B 0.084 0.500 0.917 x2
14 B 0.113 0.500 0.476 x2
15 B 0.116 0.000 0.980 x2
16 B 0.184 0.000 0.117 x2
17 B 0.211 0.000 0.671 x2
18 B 0.215 0.500 0.182 x2
19 B 0.283 0.000 0.815 x2
20 B 0.284 0.500 0.317 x2
21 B 0.316 0.000 0.380 x2
22 B 0.323 0.500 0.896 x2
23 B 0.383 0.000 0.518 x2
24 B 0.415 0.500 0.581 x2
25 B 0.420 0.000 0.089 x2
26 B 0.484 0.500 0.717 x2
27 C 0.081 0.000 0.412 x2
28 C 0.179 0.500 0.607 x2
29 C 0.387 0.500 0.024 x2
30 C 0.484 0.000 0.218 x2

Total moment ... 0.00 μB/f.u.
Formation energy ... 0.201 eV/atom
ΔE to the lowest computed polymorph ... 0.46 eV per formula unit

***

9.
VASP calculation (PBE-GGA) on Na2B3C after structural relaxation.

Cell: 23.177 2.838 10.049 Å, 90.00 106.61 90.00°
Space group Cm (No. 8)
Unique sites:
1 Na 0.000 0.000 0.000 x2
2 Na 0.000 0.500 0.494 x2
3 Na 0.100 0.500 0.200 x2
4 Na 0.102 0.000 0.696 x2
5 Na 0.200 0.000 0.400 x2
6 Na 0.202 0.500 0.896 x2
7 Na 0.300 0.500 0.595 x2
8 Na 0.301 0.000 0.095 x2
9 Na 0.400 0.000 0.796 x2
10 Na 0.400 0.500 0.294 x2
11 B 0.023 0.500 0.792 x2
12 B 0.080 0.000 0.406 x2
13 B 0.087 0.500 0.919 x2
14 B 0.120 0.500 0.485 x2
15 B 0.128 0.000 0.001 x2
16 B 0.190 0.500 0.624 x2
17 B 0.218 0.500 0.181 x2
18 B 0.284 0.000 0.814 x2
19 B 0.309 0.000 0.365 x2
20 B 0.376 0.000 0.498 x2
21 B 0.377 0.500 0.001 x2
22 B 0.416 0.500 0.578 x2
23 B 0.417 0.000 0.081 x2
24 B 0.480 0.500 0.706 x2
25 B 0.486 0.000 0.219 x2
26 C 0.018 0.000 0.281 x2
27 C 0.188 0.000 0.119 x2
28 C 0.221 0.000 0.686 x2
29 C 0.279 0.500 0.305 x2
30 C 0.315 0.500 0.877 x2

Total moment ... 0.00 μB/f.u.
Formation energy ... 0.149 eV/atom
ΔE to the lowest computed polymorph ... 0.10 eV per formula unit

***

10.
VASP calculation (PBE-GGA) on NaBC after structural relaxation.

Cell: 8.457 8.457 5.007 Å, 90.00 90.00 90.00°
Space group I4/mmm (No. 139)
Unique sites:
1 Na 0.000 0.315 0.000 x8
2 B 0.126 0.126 0.500 x8
3 C 0.000 0.243 0.500 x8

Total moment ... 0.00 μB/f.u.
Formation energy ... 0.217 eV/atom

***

11.
VASP calculation (PBE-GGA) on Na4B5C3 after structural relaxation.

Cell: 17.687 2.836 10.067 Å, 90.00 106.33 90.00°
Space group C2/m (No. 12)
Unique sites:
1 Na 0.000 0.000 0.000 x2
2 Na 0.000 0.000 0.500 x2
3 Na 0.000 0.500 0.249 x4
4 Na 0.249 0.000 0.625 x4
5 Na 0.250 0.000 0.124 x4
6 B 0.124 0.000 0.382 x4
7 B 0.124 0.500 0.481 x4
8 B 0.125 0.000 0.902 x4
9 B 0.125 0.500 0.142 x4
10 B 0.125 0.500 0.661 x4
11 C 0.124 0.000 0.221 x4
12 C 0.125 0.500 0.980 x4
13 C 0.126 0.000 0.739 x4

Total moment ... 0.00 μB/f.u.
Formation energy ... 0.073 eV/atom
ΔE to the lowest computed polymorph ... 0.14 eV per formula unit

***

12.
VASP calculation (PBE-GGA) on Na5B6C4 after structural relaxation.

Cell: 14.329 4.952 8.948 Å, 90.00 108.63 90.00°
Space group C2/c (No. 15)
Unique sites:
1 Na 0.050 0.249 0.000 x8
2 Na 0.149 0.250 0.498 x8
3 Na 0.250 0.250 0.000 x4
4 B 0.000 0.066 0.250 x4
5 B 0.000 0.418 0.250 x4
6 B 0.106 0.414 0.751 x8
7 B 0.200 0.084 0.250 x8
8 C 0.101 0.083 0.751 x8
9 C 0.203 0.421 0.251 x8

Total moment ... 0.00 μB/f.u.
Formation energy ... 0.085 eV/atom
ΔE to the lowest computed polymorph ... 0.49 eV per formula unit